First-principles (GGA-PBE) data for a relaxed structure of Li7Ca3Ag4, as listed in Alexandria via LeMat-Bulk.

abc: 16.5531 4.4482 10.4302
angles: 90.00 126.34 90.00
With the nearest neighbours (Å) after each atom.
Space group C2/m (No. 12)
Symmetry-distinct sites (fractional):
Li  0.0000  0.0000  0.0000  2 Ag 2.73
Li  0.0136  0.5000  0.7974  3 Ag 2.68-2.75, 3 Li 2.93-2.98
Li  0.1616  0.0000  0.9254  3 Ag 2.80-2.81, 2 Li 2.98
Li  0.1817  0.5000  0.5145  4 Ag 2.74-2.84, 1 Li 2.93
Ca  0.0000  0.0000  0.5000  6 Ag 3.22-3.30, 2 Li 3.57
Ca  0.1946  0.5000  0.2102  4 Ag 3.15-3.24, 10 Li 3.23-3.50
Ag  0.1071  0.0000  0.3241  6 Li 2.73-2.84
Ag  0.1610  0.5000  0.7615  5 Li 2.68-2.81

Output
Energy of formation: -0.18 eV per atom
Spin magnetization: 0.000 Bohr magnetons per cell
DOS at the Fermi energy: 12.83 states/eV/cell

***

First-principles (GGA-PBE) data for a relaxed structure of Ac3GeN, as listed in Alexandria via LeMat-Bulk.

abc: 7.5353 4.2583 9.3874
angles: 90.00 101.58 90.00
With the nearest neighbours (Å) after each atom.
Space group Pm (No. 6)
Symmetry-distinct sites (fractional):
Ac  0.0000  0.0000  0.0000  1 N 2.67
Ac  0.1569  0.5000  0.7187  2 N 2.86
Ac  0.3533  0.0000  0.4268  2 N 2.86
Ac  0.5117  0.5000  0.1458  1 N 2.67
Ac  0.6728  0.5000  0.7170  3 N 2.59-2.74
Ac  0.8374  0.0000  0.4291  3 N 2.59-2.74
Ge  0.0661  0.5000  0.2591  6 Ac 3.20-3.34
Ge  0.4437  0.0000  0.8868  6 Ac 3.19-3.34
N  0.6093  0.5000  0.4356  6 Ac 2.59-2.86
N  0.9009  0.0000  0.7103  6 Ac 2.59-2.86

Output
Energy above the lowest structure with this stoichiometry: 0.0 meV per atom
Spin magnetization: 0.000 Bohr magnetons per cell
DOS at the Fermi energy: 6.52 states/eV/cell
ΔE_f (raw): -686 meV per atom

***

First-principles (GGA-PBE) data for a relaxed structure of Tc2AsPb, as listed in Alexandria via LeMat-Bulk.

abc: 6.5648 6.5648 6.5648
angles: 90.00 90.00 90.00
With the nearest neighbours (Å) after each atom.
Space group F-43m (No. 216)
Symmetry-distinct sites (fractional):
Tc  0.0000  0.0000  0.0000  4 Pb 2.84, 4 Tc 2.84
Tc  0.2500  0.2500  0.2500  4 As 2.84, 4 Tc 2.84
As  0.0000  0.0000  0.5000  4 Pb 2.84, 4 Tc 2.84
Pb  0.2500  0.2500  0.7500  4 As 2.84, 4 Tc 2.84

Output
Energy above the lowest structure with this stoichiometry: 551.8 meV per atom
Energy of formation: 0.69 eV per atom
Spin magnetization: 0.011 Bohr magnetons per cell
DOS at the Fermi energy: 13.68 states/eV/cell

***

V? In order: 618.7 295.1 282.9 Å³ per cell.